A geometry-optimized CdGaFe3 structure, computed with PBE-GGA.

extended XYZ file:
```
5
Lattice="4.479 0.000 0.000 0.000 4.479 0.000 0.000 0.000 4.479" Properties=species:S:1:pos:R:3 pbc="T T T"
Cd 0.000 0.000 0.000
Ga 2.240 2.240 2.240
Fe 0.000 2.240 2.240
Fe 2.240 0.000 2.240
Fe 2.240 2.240 0.000
```

As for the crystal system: cubic. Its space group is Pm-3m (221). As for the formation energy: 4.4 eV per formula unit. The calculation puts the energy above the most stable polymorph in this dataset at 0 meV per atom.

A geometry-optimized Rb3La3ReO8 structure, computed with PBE-GGA.

extended XYZ file:
```
15
Lattice="3.602 2.079 6.601 -3.602 2.079 6.601 0.000 -4.159 6.601" Properties=species:S:1:pos:R:3 pbc="T T T"
Rb -1.801 -1.040 6.601
Rb -1.801 1.040 13.202
Rb 0.000 2.079 6.601
La -3.602 0.000 9.901
La -1.801 1.040 3.300
La 1.801 1.040 3.300
Re 0.000 0.000 9.901
O 0.000 0.000 4.489
O -1.583 -0.914 10.986
O 0.000 -1.827 8.816
O -1.583 0.914 8.816
O 1.583 -0.914 10.986
O 0.000 1.827 10.986
O 1.583 0.914 8.816
O 0.000 0.000 15.313
```

As for the uncorrected formation energy: -2.320 eV/atom. As for the crystal system: trigonal. Its space group is R-3m (166).

A geometry-optimized Sc2InRu structure, computed with PBE-GGA.

extended XYZ file:
```
4
Lattice="3.301 0.000 0.000 0.000 3.301 0.000 0.000 0.000 7.172" Properties=species:S:1:pos:R:3 pbc="T T T"
Sc 0.000 0.000 1.524
Sc 0.000 0.000 5.648
In 1.651 1.651 3.586
Ru 1.651 1.651 0.000
```

As for the crystal system: tetragonal. Its space group is P4/mmm (123). As for the formation energy: -2.3 eV per formula unit.

What did the third record say?
A geometry-optimized Sc2InRu structure, computed with PBE-GGA.

extended XYZ file:
```
4
Lattice="3.301 0.000 0.000 0.000 3.301 0.000 0.000 0.000 7.172" Properties=species:S:1:pos:R:3 pbc="T T T"
Sc 0.000 0.000 1.524
Sc 0.000 0.000 5.648
In 1.651 1.651 3.586
Ru 1.651 1.651 0.000
```

As for the crystal system: tetragonal. Its space group is P4/mmm (123). As for the formation energy: -2.3 eV per formula unit.